# Hf2ZnMoH

An optimized crystal structure of Hf2ZnMoH (PBE, Alexandria via LeMat-Bulk).

a = 4.540 Å, b = 4.540 Å, c = 3.661 Å
α = 90.00°, β = 90.00°, γ = 90.00°
Element x y z (fractional)
Hf 0.000 0.500 0.000
Hf 0.500 0.000 0.000
Zn 0.000 0.000 0.500
Mo 0.500 0.500 0.500
H 0.500 0.500 0.000

Output
space-group type: No. 123
total DFT energy (no corrections): -0.533 Ry/atom
crystal system: tetragonal